Material: GdLu2Sn7
Method: DFT, PBE
State: optimized geometry

Summary:
**Spin magnetization**: 0.0 μB/f.u.
**Calculated total energy**: -4.639 eV per atom
**Crystal system**: orthorhombic

Geometry as extended XYZ:
```
10
Lattice="2.248 -12.664 0.000 2.248 12.664 0.000 0.000 0.000 4.523" Properties=species:S:1:pos:R:3 pbc="T T T"
Gd 0.000 0.000 0.000
Lu 2.248 7.892 0.000
Lu 2.248 -7.892 0.000
Sn 2.248 10.159 2.262
Sn 2.248 5.289 2.262
Sn 2.248 2.484 0.000
Sn 2.248 0.000 2.262
Sn 2.248 -2.484 0.000
Sn 2.248 -5.289 2.262
Sn 2.248 -10.159 2.262
```



Material: GdLuZn2Sn2
Method: DFT, PBE
State: optimized geometry

Summary:
**Spin magnetization**: 0.0 μB/f.u.
**Calculated total energy**: -3.831 eV per atom
**Crystal system**: hexagonal

Geometry as extended XYZ:
```
12
Lattice="4.506 0.000 0.000 -2.253 3.902 0.000 0.000 0.000 15.693" Properties=species:S:1:pos:R:3 pbc="T T T"
Gd 0.000 0.000 3.923
Gd 0.000 0.000 11.770
Lu 0.000 0.000 0.000
Lu 0.000 0.000 7.847
Zn 0.000 2.602 2.482
Zn 0.000 2.602 5.365
Zn 2.253 1.301 10.328
Zn 2.253 1.301 13.212
Sn 0.000 2.602 9.580
Sn 0.000 2.602 13.961
Sn 2.253 1.301 1.733
Sn 2.253 1.301 6.114
```



Material: GdLuZn2Sn2
Method: DFT, PBE
State: optimized geometry

Summary:
**Spin magnetization**: 0.0 μB/f.u.
**Calculated total energy**: -3.845 eV per atom
**Crystal system**: hexagonal

Geometry as extended XYZ:
```
12
Lattice="4.488 0.000 0.000 -2.244 3.886 0.000 0.000 0.000 15.758" Properties=species:S:1:pos:R:3 pbc="T T T"
Gd 0.000 0.000 0.000
Gd 0.000 0.000 7.879
Lu 0.000 0.000 3.939
Lu 0.000 0.000 11.818
Zn 0.000 2.591 2.563
Zn 0.000 2.591 5.316
Zn 2.244 1.295 10.441
Zn 2.244 1.295 13.195
Sn 0.000 2.591 9.701
Sn 0.000 2.591 13.935
Sn 2.244 1.295 1.822
Sn 2.244 1.295 6.056
```



Material: SrGdLu
Method: DFT, PBE
State: optimized geometry

Summary:
**Spin magnetization**: 0.0 μB/f.u.
**Calculated total energy**: -2.822 eV per atom
**Crystal system**: cubic

Geometry as extended XYZ:
```
3
Lattice="0.000 4.027 4.027 4.027 0.000 4.027 4.027 4.027 0.000" Properties=species:S:1:pos:R:3 pbc="T T T"
Sr 0.000 0.000 0.000
Gd 4.027 4.027 4.027
Lu 2.014 2.014 2.014
```



Material: GdLuTe
Method: DFT, PBE
State: optimized geometry

Summary:
**Spin magnetization**: 1.0 μB/f.u.
**Calculated total energy**: -4.508 eV per atom
**Crystal system**: cubic

Geometry as extended XYZ:
```
3
Lattice="0.000 3.563 3.563 3.563 0.000 3.563 3.563 3.563 0.000" Properties=species:S:1:pos:R:3 pbc="T T T"
Gd 0.000 0.000 0.000
Lu 3.563 3.563 3.563
Te 1.782 1.782 1.782
```



Material: GdLuTlTe3
Method: DFT, PBE
State: optimized geometry

Summary:
**Spin magnetization**: 0.4 μB/f.u.
**Calculated total energy**: -4.425 eV per atom
**Crystal system**: orthorhombic

Geometry as extended XYZ:
```
12
Lattice="2.174 -7.656 0.000 2.174 7.656 0.000 0.000 0.000 11.982" Properties=species:S:1:pos:R:3 pbc="T T T"
Gd 2.174 6.520 8.987
Gd 2.174 -6.520 2.996
Lu 2.174 0.000 0.000
Lu 2.174 0.000 5.991
Tl 2.174 3.894 2.996
Tl 2.174 -3.894 8.987
Te 2.174 5.500 6.212
Te 2.174 5.500 11.761
Te 2.174 0.944 8.987
Te 2.174 -0.944 2.996
Te 2.174 -5.500 0.221
Te 2.174 -5.500 5.770
```



Material: GdLuTlTe3
Method: DFT, PBE
State: optimized geometry

Summary:
**Spin magnetization**: 0.0 μB/f.u.
**Calculated total energy**: -4.457 eV per atom
**Crystal system**: orthorhombic

Geometry as extended XYZ:
```
12
Lattice="2.226 -7.689 0.000 2.226 7.689 0.000 0.000 0.000 12.000" Properties=species:S:1:pos:R:3 pbc="T T T"
Gd 0.000 0.000 0.000
Gd 0.000 0.000 6.000
Lu 2.226 0.859 9.000
Lu 2.226 -0.859 3.000
Tl 2.226 3.902 3.000
Tl 2.226 -3.902 9.000
Te 2.226 6.640 9.000
Te 2.226 2.187 6.441
Te 2.226 2.187 11.559
Te 2.226 -2.187 0.441
Te 2.226 -2.187 5.559
Te 2.226 -6.640 3.000
```



Material: GdLuTh
Method: DFT, PBE
State: optimized geometry

Summary:
**Spin magnetization**: 0.0 μB/f.u.
**Calculated total energy**: -4.756 eV per atom
**Energy of formation**: 0.775 eV/atom
**Crystal system**: cubic

Geometry as extended XYZ:
```
3
Lattice="0.000 3.809 3.809 3.809 0.000 3.809 3.809 3.809 0.000" Properties=species:S:1:pos:R:3 pbc="T T T"
Gd 0.000 0.000 0.000
Lu 1.904 1.904 1.904
Th 3.809 3.809 3.809
```



Material: GdLuTl
Method: DFT, PBE
State: optimized geometry

Summary:
**Spin magnetization**: 0.0 μB/f.u.
**Calculated total energy**: -3.873 eV per atom
**Crystal system**: cubic

Geometry as extended XYZ:
```
3
Lattice="0.000 3.629 3.629 3.629 0.000 3.629 3.629 3.629 0.000" Properties=species:S:1:pos:R:3 pbc="T T T"
Gd 0.000 0.000 0.000
Lu 3.629 3.629 3.629
Tl 1.815 1.815 1.815
```



Material: GdTm2Lu
Method: DFT, PBE
State: optimized geometry

Summary:
**Spin magnetization**: 0.1 μB/f.u.
**Calculated total energy**: -4.529 eV per atom
**Energy of formation**: 0.003 eV/atom
**Crystal system**: orthorhombic

Geometry as extended XYZ:
```
8
Lattice="5.555 0.000 0.000 0.000 3.553 6.155 0.000 -3.553 6.155" Properties=species:S:1:pos:R:3 pbc="T T T"
Gd 0.000 0.000 0.000
Gd 2.777 0.000 4.103
Tm 0.000 0.000 6.166
Tm 2.777 -1.767 7.186
Tm 2.777 1.767 7.186
Tm 2.777 0.000 10.246
Lu 0.000 -1.767 9.225
Lu 0.000 1.767 9.225
```



Material: Gd2Tm3Lu3
Method: DFT, PBE
State: optimized geometry

Summary:
**Spin magnetization**: 0.1 μB/f.u.
**Calculated total energy**: -4.535 eV per atom
**Energy of formation**: 0.003 eV/atom
**Crystal system**: hexagonal

Geometry as extended XYZ:
```
8
Lattice="7.097 0.000 0.000 -3.548 6.146 0.000 0.000 0.000 5.547" Properties=species:S:1:pos:R:3 pbc="T T T"
Gd 0.000 0.000 0.000
Gd 0.000 4.097 2.773
Tm 3.548 0.012 0.000
Tm 1.784 3.067 0.000
Tm 5.313 3.067 0.000
Lu 1.785 1.030 2.773
Lu 5.312 1.030 2.773
Lu 3.548 4.085 2.773
```



Material: GdTmLu
Method: DFT, PBE
State: optimized geometry

Summary:
**Spin magnetization**: 0.0 μB/f.u.
**Calculated total energy**: -3.835 eV per atom
**Energy of formation**: 0.716 eV/atom
**Crystal system**: cubic

Geometry as extended XYZ:
```
3
Lattice="0.000 3.774 3.774 3.774 0.000 3.774 3.774 3.774 0.000" Properties=species:S:1:pos:R:3 pbc="T T T"
Gd 0.000 0.000 0.000
Tm 3.774 3.774 3.774
Lu 1.887 1.887 1.887
```



Q: Which value of spin magnetization does entry 3 give?
A: 0.0 μB/f.u.